[1]
# ZnSi3Ni12 PBE optimized geometry
data_ZnSi3Ni12
_space_group_name_H-M_alt 'P 4/m m m'
_space_group_IT_number 123
_space_group_name_Hall '-P 4 2'
_cell_length_a 3.5209
_cell_length_b 3.5209
_cell_length_c 14.1198
_cell_angle_alpha 90.00
_cell_angle_beta 90.00
_cell_angle_gamma 90.00
loop_
_atom_site_label
_atom_site_type_symbol
_atom_site_fract_x
_atom_site_fract_y
_atom_site_fract_z
Zn1 Zn 0.0000 0.0000 0.0000
Si1 Si 0.0000 0.0000 0.2504
Si2 Si 0.0000 0.0000 0.5000
Ni1 Ni 0.0000 0.5000 0.1312
Ni2 Ni 0.0000 0.5000 0.3765
Ni3 Ni 0.5000 0.5000 0.0000
Ni4 Ni 0.5000 0.5000 0.2544
Ni5 Ni 0.5000 0.5000 0.5000
# Calculated density in g/cm³: 8.1
# Raw total energy in eV/atom: -5.798
# ΔE_f (raw) in eV per atom: -0.37
# Size of the total moment in μB per atom: 0.101

[2]
# Zn2SiNi8 PBE optimized geometry
data_Zn2SiNi8
_space_group_name_H-M_alt 'C 1 2/m 1'
_space_group_IT_number 12
_cell_length_a 6.2754
_cell_length_b 11.3672
_cell_length_c 4.1633
_cell_angle_alpha 90.00
_cell_angle_beta 117.39
_cell_angle_gamma 90.00
loop_
_space_group_symop_operation_xyz
'x,y,z'
'-x,-y,-z'
'-x,y,-z'
'x,-y,z'
'x+1/2,y+1/2,z'
'-x+1/2,-y+1/2,-z'
'-x+1/2,y+1/2,-z'
'x+1/2,-y+1/2,z'
loop_
_atom_site_label
_atom_site_type_symbol
_atom_site_fract_x
_atom_site_fract_y
_atom_site_fract_z
Zn1 Zn 0.0000 0.1985 0.0000
Si1 Si 0.0000 0.5000 0.5000
Ni1 Ni 0.0000 0.3037 0.5000
Ni2 Ni 0.1082 0.0000 0.3089
Ni3 Ni 0.2128 0.3936 0.1357
# Calculated density in g/cm³: 7.9
# Raw total energy in eV/atom: -4.972
# ΔE_f (raw) in eV per atom: -0.04
# Size of the total moment in μB per atom: 0.035

[3]
# Zn5SiNi6 PBE optimized geometry
data_Zn5SiNi6
_space_group_name_H-M_alt 'C 1 2/m 1'
_space_group_IT_number 12
_cell_length_a 12.0203
_cell_length_b 6.5858
_cell_length_c 3.8195
_cell_angle_alpha 90.00
_cell_angle_beta 108.44
_cell_angle_gamma 90.00
loop_
_space_group_symop_operation_xyz
'x,y,z'
'-x,-y,-z'
'-x,y,-z'
'x,-y,z'
'x+1/2,y+1/2,z'
'-x+1/2,-y+1/2,-z'
'-x+1/2,y+1/2,-z'
'x+1/2,-y+1/2,z'
loop_
_atom_site_label
_atom_site_type_symbol
_atom_site_fract_x
_atom_site_fract_y
_atom_site_fract_z
Zn1 Zn 0.0000 0.0000 0.0000
Zn2 Zn 0.1585 0.0000 0.6584
Zn3 Zn 0.1815 0.5000 0.6813
Si1 Si 0.0000 0.5000 0.0000
Ni1 Ni 0.0000 0.2823 0.5000
Ni2 Ni 0.1605 0.2651 0.1603
# Calculated density in g/cm³: 8.2
# Raw total energy in eV/atom: -4.182
# ΔE_f (raw) in eV per atom: -0.31
# Size of the total moment in μB per atom: 0.000

[4]
# Zr2Si4Ni5 PBE optimized geometry
data_Zr2Si4Ni5
_space_group_name_H-M_alt 'F m m m'
_space_group_IT_number 69
_space_group_name_Hall '-F 2 2'
_cell_length_a 5.1292
_cell_length_b 8.7811
_cell_length_c 13.5592
_cell_angle_alpha 90.00
_cell_angle_beta 90.00
_cell_angle_gamma 90.00
loop_
_atom_site_label
_atom_site_type_symbol
_atom_site_fract_x
_atom_site_fract_y
_atom_site_fract_z
Zr1 Zr 0.0000 0.0000 0.1404
Si1 Si 0.0000 0.1472 0.3668
Ni1 Ni 0.0000 0.0000 0.5000
Ni2 Ni 0.2500 0.2500 0.0000
Ni3 Ni 0.2500 0.2500 0.2500
# Calculated density in g/cm³: 6.4
# Raw total energy in eV/atom: -6.793
# ΔE_f (raw) in eV per atom: -0.64
# Size of the total moment in μB per atom: 0.000

[5]
# ZrSi2Ni PBE optimized geometry
data_ZrSi2Ni
_space_group_name_H-M_alt 'R 3 m'
_space_group_IT_number 160
_space_group_name_Hall 'R 3 -2"'
_cell_length_a 2.9553
_cell_length_b 2.9553
_cell_length_c 24.5738
_cell_angle_alpha 90.00
_cell_angle_beta 90.00
_cell_angle_gamma 120.00
loop_
_atom_site_label
_atom_site_type_symbol
_atom_site_fract_x
_atom_site_fract_y
_atom_site_fract_z
Zr1 Zr 0.0000 0.0000 0.0000
Si1 Si 0.0000 0.0000 0.2414
Si2 Si 0.0000 0.0000 0.4937
Ni1 Ni 0.0000 0.0000 0.7619
# Calculated density in g/cm³: 5.5
# Raw total energy in eV/atom: -6.348
# ΔE_f (raw) in eV per atom: -0.05
# Size of the total moment in μB per atom: 0.000

[6]
# ZrSi2Ni PBE optimized geometry
data_ZrSi2Ni
_space_group_name_H-M_alt 'C 1 2/m 1'
_space_group_IT_number 12
_cell_length_a 7.3941
_cell_length_b 2.9822
_cell_length_c 5.6274
_cell_angle_alpha 90.00
_cell_angle_beta 100.50
_cell_angle_gamma 90.00
loop_
_space_group_symop_operation_xyz
'x,y,z'
'-x,-y,-z'
'-x,y,-z'
'x,-y,z'
'x+1/2,y+1/2,z'
'-x+1/2,-y+1/2,-z'
'-x+1/2,y+1/2,-z'
'x+1/2,-y+1/2,z'
loop_
_atom_site_label
_atom_site_type_symbol
_atom_site_fract_x
_atom_site_fract_y
_atom_site_fract_z
Zr1 Zr 0.0000 0.0000 0.0000
Si1 Si 0.2362 0.0000 0.6796
Ni1 Ni 0.0000 0.5000 0.5000
# Calculated density in g/cm³: 5.6
# Raw total energy in eV/atom: -6.771
# ΔE_f (raw) in eV per atom: -0.48
# Size of the total moment in μB per atom: 0.000

[7]
# ZrSiNi2 PBE optimized geometry
data_ZrSiNi2
_space_group_name_H-M_alt 'P 1 m 1'
_space_group_IT_number 6
_cell_length_a 3.2652
_cell_length_b 4.0442
_cell_length_c 4.7153
_cell_angle_alpha 90.00
_cell_angle_beta 109.62
_cell_angle_gamma 90.00
loop_
_space_group_symop_operation_xyz
'x,y,z'
'x,-y,z'
loop_
_atom_site_label
_atom_site_type_symbol
_atom_site_fract_x
_atom_site_fract_y
_atom_site_fract_z
Zr1 Zr 0.0000 0.0000 0.0000
Si1 Si 0.3877 0.5000 0.7678
Ni1 Ni 0.2818 0.0000 0.5444
Ni2 Ni 0.6865 0.5000 0.3568
# Calculated density in g/cm³: 6.7
# Raw total energy in eV/atom: -6.802
# ΔE_f (raw) in eV per atom: -0.42
# Size of the total moment in μB per atom: 0.000

[8]
# ZrSiNi PBE optimized geometry
data_ZrSiNi
_space_group_name_H-M_alt 'C m c m'
_space_group_IT_number 63
_space_group_name_Hall '-C 2c 2'
_cell_length_a 3.7703
_cell_length_b 9.3619
_cell_length_c 5.1377
_cell_angle_alpha 90.00
_cell_angle_beta 90.00
_cell_angle_gamma 90.00
loop_
_atom_site_label
_atom_site_type_symbol
_atom_site_fract_x
_atom_site_fract_y
_atom_site_fract_z
Zr1 Zr 0.0000 0.2066 0.2500
Si1 Si 0.0000 0.5000 0.0000
Ni1 Ni 0.0000 0.0808 0.7500
# Calculated density in g/cm³: 6.5
# Raw total energy in eV/atom: -7.288
# ΔE_f (raw) in eV per atom: -0.70
# Size of the total moment in μB per atom: 0.000

[9]
# ZrSi2Ni PBE optimized geometry
data_ZrSi2Ni
_space_group_name_H-M_alt 'P 4 m m'
_space_group_IT_number 99
_cell_length_a 3.1419
_cell_length_b 3.1419
_cell_length_c 6.0316
_cell_angle_alpha 90.00
_cell_angle_beta 90.00
_cell_angle_gamma 90.00
loop_
_space_group_symop_operation_xyz
'x,y,z'
'-y,x,z'
'-x,-y,z'
'y,-x,z'
'-x,y,z'
'y,x,z'
'x,-y,z'
'-y,-x,z'
loop_
_atom_site_label
_atom_site_type_symbol
_atom_site_fract_x
_atom_site_fract_y
_atom_site_fract_z
Zr1 Zr 0.0000 0.0000 0.0000
Si1 Si 0.0000 0.0000 0.4835
Si2 Si 0.5000 0.5000 0.7192
Ni1 Ni 0.5000 0.5000 0.3327
# Calculated density in g/cm³: 5.7
# Raw total energy in eV/atom: -6.701
# ΔE_f (raw) in eV per atom: -0.41
# Size of the total moment in μB per atom: 0.000

[10]
# ZrSiNi2 PBE optimized geometry
data_ZrSiNi2
_space_group_name_H-M_alt 'I -4 2 d'
_space_group_IT_number 122
_space_group_name_Hall 'I -4 2bw'
_cell_length_a 3.9315
_cell_length_b 3.9315
_cell_length_c 16.1673
_cell_angle_alpha 90.00
_cell_angle_beta 90.00
_cell_angle_gamma 90.00
loop_
_atom_site_label
_atom_site_type_symbol
_atom_site_fract_x
_atom_site_fract_y
_atom_site_fract_z
Zr1 Zr 0.0000 0.0000 0.0000
Si1 Si 0.0000 0.0000 0.5000
Ni1 Ni 0.1811 0.2500 0.6250
# Calculated density in g/cm³: 6.3
# Raw total energy in eV/atom: -6.592
# ΔE_f (raw) in eV per atom: -0.21
# Size of the total moment in μB per atom: 0.000

[11]
# ZrSiNi PBE optimized geometry
data_ZrSiNi
_space_group_name_H-M_alt 'C 1 m 1'
_space_group_IT_number 8
_cell_length_a 10.1988
_cell_length_b 3.7949
_cell_length_c 5.1013
_cell_angle_alpha 90.00
_cell_angle_beta 107.43
_cell_angle_gamma 90.00
loop_
_space_group_symop_operation_xyz
'x,y,z'
'x,-y,z'
'x+1/2,y+1/2,z'
'x+1/2,-y+1/2,z'
loop_
_atom_site_label
_atom_site_type_symbol
_atom_site_fract_x
_atom_site_fract_y
_atom_site_fract_z
Zr1 Zr 0.0000 0.0000 0.0000
Zr2 Zr 0.2336 0.0000 0.6002
Si1 Si 0.2037 0.5000 0.0002
Si2 Si 0.4091 0.5000 0.4523
Ni1 Ni 0.0354 0.5000 0.5616
Ni2 Ni 0.3253 0.0000 0.1543
# Calculated density in g/cm³: 6.3
# Raw total energy in eV/atom: -7.272
# ΔE_f (raw) in eV per atom: -0.69
# Size of the total moment in μB per atom: 0.000

[12]
# ZrSi2Ni PBE optimized geometry
data_ZrSi2Ni
_space_group_name_H-M_alt 'I 4/m m m'
_space_group_IT_number 139
_space_group_name_Hall '-I 4 2'
_cell_length_a 3.7216
_cell_length_b 3.7216
_cell_length_c 8.6864
_cell_angle_alpha 90.00
_cell_angle_beta 90.00
_cell_angle_gamma 90.00
loop_
_atom_site_label
_atom_site_type_symbol
_atom_site_fract_x
_atom_site_fract_y
_atom_site_fract_z
Zr1 Zr 0.0000 0.0000 0.0000
Si1 Si 0.0000 0.5000 0.2500
Ni1 Ni 0.0000 0.0000 0.5000
# Calculated density in g/cm³: 5.7
# Raw total energy in eV/atom: -6.558
# ΔE_f (raw) in eV per atom: -0.26
# Size of the total moment in μB per atom: 0.000

[13]
# Zr2Si2Ni PBE optimized geometry
data_Zr2Si2Ni
_space_group_name_H-M_alt 'I 4/m m m'
_space_group_IT_number 139
_space_group_name_Hall '-I 4 2'
_cell_length_a 3.3833
_cell_length_b 3.3833
_cell_length_c 15.4285
_cell_angle_alpha 90.00
_cell_angle_beta 90.00
_cell_angle_gamma 90.00
loop_
_atom_site_label
_atom_site_type_symbol
_atom_site_fract_x
_atom_site_fract_y
_atom_site_fract_z
Zr1 Zr 0.0000 0.0000 0.1048
Si1 Si 0.0000 0.5000 0.2500
Ni1 Ni 0.0000 0.0000 0.5000
# Calculated density in g/cm³: 5.6
# Raw total energy in eV/atom: -7.034
# ΔE_f (raw) in eV per atom: -0.29
# Size of the total moment in μB per atom: 0.000

[14]
# ZrSiNi PBE optimized geometry
data_ZrSiNi
_space_group_name_H-M_alt 'I 4/m m m'
_space_group_IT_number 139
_space_group_name_Hall '-I 4 2'
_cell_length_a 3.7522
_cell_length_b 3.7522
_cell_length_c 13.0556
_cell_angle_alpha 90.00
_cell_angle_beta 90.00
_cell_angle_gamma 90.00
loop_
_atom_site_label
_atom_site_type_symbol
_atom_site_fract_x
_atom_site_fract_y
_atom_site_fract_z
Zr1 Zr 0.0000 0.0000 0.1695
Si1 Si 0.0000 0.0000 0.3871
Ni1 Ni 0.0000 0.5000 0.0000
# Calculated density in g/cm³: 6.4
# Raw total energy in eV/atom: -7.426
# ΔE_f (raw) in eV per atom: -0.84
# Size of the total moment in μB per atom: 0.000

[15]
# ZrSi2Ni PBE optimized geometry
data_ZrSi2Ni
_space_group_name_H-M_alt 'I m m m'
_space_group_IT_number 71
_space_group_name_Hall '-I 2 2'
_cell_length_a 3.8922
_cell_length_b 8.0080
_cell_length_c 15.3605
_cell_angle_alpha 90.00
_cell_angle_beta 90.00
_cell_angle_gamma 90.00
loop_
_atom_site_label
_atom_site_type_symbol
_atom_site_fract_x
_atom_site_fract_y
_atom_site_fract_z
Zr1 Zr 0.0000 0.0000 0.1996
Zr2 Zr 0.0000 0.2505 0.0000
Si1 Si 0.0000 0.0000 0.4222
Si2 Si 0.0000 0.3414 0.1997
Si3 Si 0.0000 0.5000 0.4256
Ni1 Ni 0.0000 0.2499 0.3526
# Calculated density in g/cm³: 5.7
# Raw total energy in eV/atom: -7.014
# ΔE_f (raw) in eV per atom: -0.72
# Size of the total moment in μB per atom: 0.000

[16]
# ZrSi2Ni2 PBE optimized geometry
data_ZrSi2Ni2
_space_group_name_H-M_alt 'P 4/m m m'
_space_group_IT_number 123
_space_group_name_Hall '-P 4 2'
_cell_length_a 4.6035
_cell_length_b 4.6035
_cell_length_c 5.0641
_cell_angle_alpha 90.00
_cell_angle_beta 90.00
_cell_angle_gamma 90.00
loop_
_atom_site_label
_atom_site_type_symbol
_atom_site_fract_x
_atom_site_fract_y
_atom_site_fract_z
Zr1 Zr 0.0000 0.0000 0.0000
Si1 Si 0.0000 0.0000 0.5000
Si2 Si 0.5000 0.5000 0.5000
Ni1 Ni 0.0000 0.5000 0.0000
# Calculated density in g/cm³: 4.1
# Raw total energy in eV/atom: -4.865
# ΔE_f (raw) in eV per atom: 1.33
# Size of the total moment in μB per atom: 0.000

[17]
# Zr2SiNi2 PBE optimized geometry
data_Zr2SiNi2
_space_group_name_H-M_alt 'I 4/m m m'
_space_group_IT_number 139
_space_group_name_Hall '-I 4 2'
_cell_length_a 3.2716
_cell_length_b 3.2716
_cell_length_c 15.7358
_cell_angle_alpha 90.00
_cell_angle_beta 90.00
_cell_angle_gamma 90.00
loop_
_atom_site_label
_atom_site_type_symbol
_atom_site_fract_x
_atom_site_fract_y
_atom_site_fract_z
Zr1 Zr 0.0000 0.0000 0.1144
Si1 Si 0.0000 0.0000 0.5000
Ni1 Ni 0.0000 0.5000 0.2500
# Calculated density in g/cm³: 6.5
# Raw total energy in eV/atom: -7.073
# ΔE_f (raw) in eV per atom: -0.26
# Size of the total moment in μB per atom: 0.000

[18]
# Zr4Si2Ni3 PBE optimized geometry
data_Zr4Si2Ni3
_space_group_name_H-M_alt 'C m c e'
_space_group_IT_number 64
_space_group_name_Hall '-C 2ac 2'
_cell_length_a 5.7183
_cell_length_b 13.1641
_cell_length_c 8.4595
_cell_angle_alpha 90.00
_cell_angle_beta 90.00
_cell_angle_gamma 90.00
loop_
_atom_site_label
_atom_site_type_symbol
_atom_site_fract_x
_atom_site_fract_y
_atom_site_fract_z
Zr1 Zr 0.0000 0.1855 0.0266
Zr2 Zr 0.2500 0.0390 0.7500
Si1 Si 0.0000 0.1258 0.3920
Ni1 Ni 0.0000 0.0000 0.0000
Ni2 Ni 0.2500 0.2421 0.7500
# Calculated density in g/cm³: 6.2
# Raw total energy in eV/atom: -7.179
# ΔE_f (raw) in eV per atom: -0.25
# Size of the total moment in μB per atom: 0.000

[19]
# ZrSiNi PBE optimized geometry
data_ZrSiNi
_space_group_name_H-M_alt 'C 1 m 1'
_space_group_IT_number 8
_cell_length_a 10.3354
_cell_length_b 3.7597
_cell_length_c 5.2435
_cell_angle_alpha 90.00
_cell_angle_beta 113.04
_cell_angle_gamma 90.00
loop_
_space_group_symop_operation_xyz
'x,y,z'
'x,-y,z'
'x+1/2,y+1/2,z'
'x+1/2,-y+1/2,z'
loop_
_atom_site_label
_atom_site_type_symbol
_atom_site_fract_x
_atom_site_fract_y
_atom_site_fract_z
Zr1 Zr 0.0000 0.0000 0.0000
Zr2 Zr 0.1258 0.5000 0.5746
Si1 Si 0.2904 0.0000 0.9929
Si2 Si 0.4223 0.5000 0.4537
Ni1 Ni 0.2080 0.5000 0.1365
Ni2 Ni 0.3132 0.0000 0.5312
# Calculated density in g/cm³: 6.3
# Raw total energy in eV/atom: -7.236
# ΔE_f (raw) in eV per atom: -0.65
# Size of the total moment in μB per atom: 0.000

[20]
# Zr2SiNi2 PBE optimized geometry
data_Zr2SiNi2
_space_group_name_H-M_alt 'I 4/m m m'
_space_group_IT_number 139
_space_group_name_Hall '-I 4 2'
_cell_length_a 5.0843
_cell_length_b 5.0843
_cell_length_c 6.6607
_cell_angle_alpha 90.00
_cell_angle_beta 90.00
_cell_angle_gamma 90.00
loop_
_atom_site_label
_atom_site_type_symbol
_atom_site_fract_x
_atom_site_fract_y
_atom_site_fract_z
Zr1 Zr 0.0000 0.5000 0.2500
Si1 Si 0.0000 0.0000 0.0000
Ni1 Ni 0.0000 0.0000 0.3388
# Calculated density in g/cm³: 6.3
# Raw total energy in eV/atom: -7.022
# ΔE_f (raw) in eV per atom: -0.21
# Size of the total moment in μB per atom: 0.000